[1]
VASP calculation (PBE) on a relaxed TlZnInNiAsPt crystal.

Lattice parameters (Å, degrees): 9.221 4.092 7.063 90.00 104.52 90.00
Atoms (fractional coordinates):
Ni 0.537 0.500 0.171
Ni 0.537 0.000 0.671
Zn 0.434 0.000 0.304
Zn 0.434 0.500 0.804
In 0.165 0.000 0.548
In 0.165 0.500 0.048
Pt 0.324 0.000 0.934
Pt 0.324 0.500 0.434
As 0.615 0.000 0.031
As 0.615 0.500 0.531
Tl 0.879 0.000 0.783
Tl 0.879 0.500 0.283

## Properties
- Symmetry: Cm (8)
- Energy of formation from the pure elements: -194 meV per atom
- DOS at the Fermi energy: 4.8 states/eV/cell



[2]
VASP calculation (PBE) on a relaxed TlZnInNiAsPt crystal.

Lattice parameters (Å, degrees): 4.147 4.147 8.499 90.00 90.00 120.00
Atoms (fractional coordinates):
Tl 0.000 0.000 0.872
As 0.333 0.667 0.617
Pt 0.333 0.667 0.317
Ni 0.667 0.333 0.551
Zn 0.000 0.000 0.433
In 0.667 0.333 0.164

## Properties
- Symmetry: P3m1 (156)
- Energy of formation from the pure elements: -191 meV per atom
- DOS at the Fermi energy: 2.7 states/eV/cell



[3]
VASP calculation (PBE) on a relaxed TlZnInNiAsPt crystal.

Lattice parameters (Å, degrees): 4.173 4.172 9.121 99.99 90.05 120.30
Atoms (fractional coordinates):
Zn 0.365 0.315 0.437
As 0.077 0.738 0.613
In 0.636 0.853 0.187
Tl 0.463 0.512 0.831
Ni 0.730 0.044 0.559
Pt 0.004 0.591 0.327

## Properties
- Symmetry: P1 (1)
- Energy of formation from the pure elements: -177 meV per atom
- DOS at the Fermi energy: 1.7 states/eV/cell



no.,energy above the most stable polymorph in this dataset (meV/atom)
1,13
2,15
3,29